## Cr2CdRe (PBE)

Data for Cr2CdRe after structural relaxation.

Values from the calculation:
- ΔH_f (0 K) (eV per atom) = 0.477
- calculated total energy (eV for the cell shown) = -61.406

a b c (Å): 9.6863 2.8851 4.5076
angles (deg): 90.00 113.15 90.00
Space group Cm (No. 8)
Inequivalent atoms, fractional coordinates:
1 Cr 0.0000 0.0000 0.0000
2 Cr 0.2014 0.5000 0.2209
3 Cd 0.4715 0.0000 0.4748
4 Re 0.2543 0.0000 0.7778